Density functional theory data (SCAN) for a PBEsol-optimized structure of MgTaZn2.

Calculated values
* energy of formation from the pure elements: -0.08 eV/atom
* space-group type: P4/mmm (123)

Cell lengths 2.897, 2.897, 7.609 Å; angles 90.00, 90.00, 90.00 degrees
Positions (direct):
Zn: 0.000 0.000 0.748
Zn: 0.000 0.000 0.252
Mg: 0.500 0.500 0.000
Ta: 0.500 0.500 0.500